Below is a geometry-optimized GdHoMgZr structure, with properties calculated at the GGA-PBE level.

Structure (extended XYZ):
```
4
Lattice="0.000 3.782 3.782 3.782 0.000 3.782 3.782 3.782 0.000" Properties=species:S:1:pos:R:3 pbc="T T T"
Gd 0.000 0.000 0.000
Ho 3.782 3.782 3.782
Mg 1.891 1.891 1.891
Zr 5.674 5.674 5.674
```

The final energy is -0.2596 hartree per atom. As for the crystal system: cubic. The value obtained for the density of states at the Fermi level is 6.25 states/eV/f.u. For the size of the total moment, the calculation gives 5.3 Bohr magnetons per cell. As for the energy relative to the elements: 0.54 eV/f.u. As for the space-group type: F-43m.